DyMn2GeO6 after structural relaxation. Source: Alexandria, functional PBE+U.

a = 5.700 Å, b = 5.700 Å, c = 5.700 Å
α = 54.59°, β = 54.59°, γ = 54.59°
Element x y z (fractional)
Dy: 0.000 0.000 0.000
Mn: 0.203 0.203 0.203
Mn: 0.729 0.729 0.729
Ge: 0.520 0.520 0.520
O: 0.157 0.412 0.792
O: 0.334 0.915 0.565
O: 0.412 0.792 0.157
O: 0.565 0.334 0.915
O: 0.792 0.157 0.412
O: 0.915 0.565 0.334

Values from the calculation:
calculated total energy	-0.2714	Ha/atom
D(E_F)	0.00	states/eV/cell